# 1
This record from the Alexandria database describes crystalline Ho2Tm8In3 at its relaxed geometry. The functional is GGA-PBE.

```
Ho2Tm8In3
1.0
3.158 1.823 11.555
-3.158 1.823 11.555
0.000 -3.647 11.555
Ho Tm In
2 8 3
direct
0.137 0.137 0.137
0.863 0.863 0.863
0.220 0.220 0.722
0.220 0.722 0.220
0.227 0.227 0.227
0.278 0.780 0.780
0.722 0.220 0.220
0.773 0.773 0.773
0.780 0.278 0.780
0.780 0.780 0.278
0.313 0.313 0.313
0.500 0.500 0.500
0.687 0.687 0.687
```

Properties
Space-group type: R-3m
VASP energy: -51.45 eV for the cell shown
Total magnetization: 1.97 μB per cell

# 2
This record from the Alexandria database describes crystalline LaP2SCl at its relaxed geometry. The functional is GGA-PBE.

```
LaP2SCl
1.0
5.945 0.000 0.000
0.000 5.945 0.000
0.000 0.000 5.330
La P S Cl
1 2 1 1
direct
0.000 0.000 0.000
0.000 0.500 0.000
0.500 0.000 0.000
0.000 0.000 0.500
0.500 0.500 0.500
```

Properties
Formation energy (no corrections): 586 meV/atom
Space-group type: P4/mmm
Total magnetization: 3.71 μB per cell